{"formula": "Nd6Tl2BiTe3", "functional": "GGA-PBE", "state": "relaxed", "total_energy_ev_per_atom": -4.88, "e_form_raw_ev_per_fu": -11.90, "sg": "C2/m, No. 12", "lattice": [[9.994, -2.222, 0.000], [9.994, 2.222, 0.000], [-2.538, 0.000, 8.907]], "species": ["Nd", "Nd", "Nd", "Nd", "Nd", "Nd", "Tl", "Tl", "Bi", "Te", "Te", "Te"], "fractional_positions": [[0.003, 0.003, 0.251], [0.333, 0.333, 0.911], [0.335, 0.335, 0.409], [0.665, 0.665, 0.591], [0.667, 0.667, 0.089], [0.997, 0.997, 0.749], [0.170, 0.170, 0.343], [0.830, 0.830, 0.657], [0.500, 0.500, 0.000], [0.164, 0.164, 0.839], [0.500, 0.500, 0.500], [0.836, 0.836, 0.161]]}